First-principles (GGA-PBE) data for a relaxed La5PmDy2Tm crystal, as listed in the Alexandria database.

Energy of formation from the pure elements ... 291 meV per atom
SG ... I4/mcm (140)

Lattice parameters (Å, degrees): 9.7720 9.7720 9.7720 121.47 121.47 87.47
Closest atoms and distances in Å follow each position.
Sites, in units of the cell vectors:
La 0.0000 0.0000 0.0000  2 Pm 3.53, 4 Dy 3.88, 8 La 3.93
La 0.0662 0.5662 0.9027  1 Tm 3.17, 1 Dy 3.20, 1 La 3.50
La 0.1635 0.0662 0.5000  1 Tm 3.17, 1 Dy 3.20, 1 La 3.50
La 0.3365 0.8365 0.9027  1 Tm 3.17, 1 Dy 3.20, 1 La 3.50
La 0.4338 0.3365 0.5000  1 Tm 3.17, 1 Dy 3.20, 1 La 3.50
La 0.5000 0.5000 0.0000  2 Pm 3.53, 4 Dy 3.88, 8 La 3.93
La 0.5662 0.6635 0.5000  1 Tm 3.17, 1 Dy 3.20, 1 La 3.50
La 0.6635 0.1635 0.0973  1 Tm 3.17, 1 Dy 3.20, 1 La 3.50
La 0.8365 0.9338 0.5000  1 Tm 3.17, 1 Dy 3.20, 1 La 3.50
La 0.9338 0.4338 0.0973  1 Tm 3.17, 1 Dy 3.20, 1 La 3.50
Pm 0.2500 0.2500 0.0000  10 La 3.53-3.80
Pm 0.7500 0.7500 0.0000  10 La 3.53-3.80
Dy 0.1081 0.3919 0.5000  1 Dy 2.92, 2 La 3.20
Dy 0.3919 0.8919 0.2838  1 Dy 2.92, 2 La 3.20
Dy 0.6081 0.1081 0.7162  1 Dy 2.92, 2 La 3.20
Dy 0.8919 0.6081 0.5000  1 Dy 2.92, 2 La 3.20
Tm 0.2500 0.7500 0.5000  4 La 3.17
Tm 0.7500 0.2500 0.5000  4 La 3.17


First-principles (GGA-PBE) data for a relaxed LaPm5Dy2Tm crystal, as listed in the Alexandria database.

Energy of formation from the pure elements ... 151 meV per atom
SG ... Cmc2_1 (36)

Lattice parameters (Å, degrees): 10.4886 10.4886 10.6539 90.00 90.00 148.41
Closest atoms and distances in Å follow each position.
Sites, in units of the cell vectors:
La 0.0846 0.9154 0.5000  5 Pm 3.08-3.34
La 0.9154 0.0846 0.0000  5 Pm 3.08-3.34
Pm 0.0188 0.9812 0.7872  2 La 3.08-3.34
Pm 0.1161 0.8839 0.0687  6 Pm 3.58-3.92, 4 Dy 3.59-3.63, 1 Tm 3.72
Pm 0.2031 0.7969 0.7542  4 Pm 3.45-3.78, 3 Tm 3.54-3.79, 3 Dy 3.56-3.70, 1 La 3.61
Pm 0.2199 0.7801 0.3620  1 La 3.10, 1 Dy 3.33, 2 Pm 3.45
Pm 0.4828 0.5172 0.0688  2 La 3.25, 2 Dy 3.44-3.47
Pm 0.5172 0.4828 0.5688  2 La 3.25, 2 Dy 3.44-3.47
Pm 0.7801 0.2199 0.8620  1 La 3.10, 1 Dy 3.33, 2 Pm 3.45
Pm 0.7969 0.2031 0.2542  4 Pm 3.45-3.78, 3 Tm 3.54-3.79, 3 Dy 3.56-3.70, 1 La 3.61
Pm 0.8839 0.1161 0.5687  6 Pm 3.58-3.92, 4 Dy 3.59-3.63, 1 Tm 3.72
Pm 0.9812 0.0188 0.2872  2 La 3.08-3.34
Dy 0.3850 0.6150 0.3642  9 Pm 3.33-3.71, 1 Tm 3.68
Dy 0.3860 0.6140 0.7796  1 Tm 3.43, 7 Pm 3.47-3.70, 2 La 3.74
Dy 0.6140 0.3860 0.2796  1 Tm 3.43, 7 Pm 3.47-3.70, 2 La 3.74
Dy 0.6150 0.3850 0.8642  9 Pm 3.33-3.71, 1 Tm 3.68
Tm 0.3006 0.6994 0.0582  2 Dy 3.43-3.68, 8 Pm 3.54-3.79, 2 La 3.73
Tm 0.6994 0.3006 0.5582  2 Dy 3.43-3.68, 8 Pm 3.54-3.79, 2 La 3.73


First-principles (GGA-PBE) data for a relaxed La2Pm3DyTm6 crystal, as listed in the Alexandria database.

Energy of formation from the pure elements ... 19 meV per atom
SG ... C2/m (12)

Lattice parameters (Å, degrees): 6.2100 6.2100 11.7387 95.05 95.05 119.98
Closest atoms and distances in Å follow each position.
Sites, in units of the cell vectors:
La 0.1662 0.8338 0.0000  6 Tm 3.57, 3 La 3.57-3.59, 3 Dy 3.58-3.59
La 0.8338 0.1662 0.0000  6 Tm 3.57, 3 La 3.57-3.59, 3 Dy 3.58-3.59
Pm 0.0000 0.0000 0.5000  6 Tm 3.54, 6 Pm 3.58-3.59
Pm 0.3333 0.6667 0.5000  6 Tm 3.54, 6 Pm 3.58-3.59
Pm 0.6667 0.3333 0.5000  6 Tm 3.54, 6 Pm 3.58-3.59
Dy 0.5000 0.5000 0.0000  6 Tm 3.56-3.57, 6 La 3.58-3.59
Tm 0.0834 0.4159 0.7486  3 Pm 3.54, 1 Dy 3.57, 2 La 3.57, 6 Tm 3.58-3.59
Tm 0.2518 0.2518 0.2517  3 Pm 3.54, 1 Dy 3.56, 2 La 3.57, 6 Tm 3.58-3.59
Tm 0.4159 0.0834 0.7486  3 Pm 3.54, 1 Dy 3.57, 2 La 3.57, 6 Tm 3.58-3.59
Tm 0.5841 0.9166 0.2514  3 Pm 3.54, 1 Dy 3.57, 2 La 3.57, 6 Tm 3.58-3.59
Tm 0.7482 0.7482 0.7483  3 Pm 3.54, 1 Dy 3.56, 2 La 3.57, 6 Tm 3.58-3.59
Tm 0.9166 0.5841 0.2514  3 Pm 3.54, 1 Dy 3.57, 2 La 3.57, 6 Tm 3.58-3.59


First-principles (GGA-PBE) data for a relaxed La2PmDy2Tm crystal, as listed in the Alexandria database.

Energy of formation from the pure elements ... 71 meV per atom
SG ... Pmc2_1 (26)

Lattice parameters (Å, degrees): 5.7180 9.9614 7.0725 90.00 90.00 90.00
Closest atoms and distances in Å follow each position.
Sites, in units of the cell vectors:
La 0.0000 0.0002 0.0000  6 La 3.54-3.77, 6 Dy 3.75-3.78, 2 Tm 3.80
La 0.0000 0.9998 0.5000  6 La 3.54-3.77, 6 Dy 3.75-3.78, 2 Tm 3.80
La 0.5000 0.1708 0.2502  5 Dy 3.29-3.54
La 0.5000 0.8292 0.7502  5 Dy 3.29-3.54
Pm 0.5000 0.4997 0.9996  2 Pm 3.54, 2 La 3.73, 4 Tm 3.73, 6 Dy 3.74-3.76
Pm 0.5000 0.5003 0.4996  2 Pm 3.54, 2 La 3.73, 4 Tm 3.73, 6 Dy 3.74-3.76
Dy 0.0000 0.3346 0.2497  3 Tm 3.27-3.54, 2 La 3.29
Dy 0.0000 0.6654 0.7497  3 Tm 3.27-3.54, 2 La 3.29
Dy 0.5000 0.1672 0.7500  2 Tm 3.32, 3 La 3.37-3.54
Dy 0.5000 0.8328 0.2500  2 Tm 3.32, 3 La 3.37-3.54
Tm 0.0000 0.3374 0.7495  5 Dy 3.27-3.54
Tm 0.0000 0.6626 0.2495  5 Dy 3.27-3.54


First-principles (GGA-PBE) data for a relaxed LaPm4Dy2Tm crystal, as listed in the Alexandria database.

Energy of formation from the pure elements ... 19 meV per atom
SG ... P2/m (10)

Lattice parameters (Å, degrees): 6.2368 3.6307 11.9845 90.00 100.14 90.00
Closest atoms and distances in Å follow each position.
Sites, in units of the cell vectors:
La 0.0000 0.0000 0.0000  4 Tm 3.61, 6 Pm 3.62-3.65, 2 La 3.63
Pm 0.2505 0.0000 0.7492  3 Dy 3.60-3.61, 6 Pm 3.60-3.63, 2 Tm 3.62, 1 La 3.62
Pm 0.2513 0.5000 0.2538  3 Dy 3.58, 6 Pm 3.60-3.63, 1 Tm 3.65, 2 La 3.65
Pm 0.7495 0.0000 0.2508  3 Dy 3.60-3.61, 6 Pm 3.60-3.63, 2 Tm 3.62, 1 La 3.62
Pm 0.7487 0.5000 0.7462  3 Dy 3.58, 6 Pm 3.60-3.63, 1 Tm 3.65, 2 La 3.65
Dy 0.0000 0.5000 0.5000  6 Pm 3.58-3.61, 6 Dy 3.61-3.63
Dy 0.5000 0.0000 0.5000  6 Pm 3.58-3.60, 6 Dy 3.61-3.63
Tm 0.5000 0.5000 0.0000  4 La 3.61, 6 Pm 3.62-3.65, 2 Tm 3.63


First-principles (GGA-PBE) data for a relaxed LaPmDy2Tm5 crystal, as listed in the Alexandria database.

Energy of formation from the pure elements ... 273 meV per atom
SG ... I4/mcm (140)

Lattice parameters (Å, degrees): 9.7347 9.7347 9.7347 126.26 126.26 79.46
Closest atoms and distances in Å follow each position.
Sites, in units of the cell vectors:
La 0.2500 0.2500 0.0000  10 Tm 3.63-3.74
La 0.7500 0.7500 0.0000  10 Tm 3.63-3.74
Pm 0.2500 0.7500 0.5000  4 Tm 3.10
Pm 0.7500 0.2500 0.5000  4 Tm 3.10
Dy 0.1149 0.6149 0.7298  1 Dy 2.86, 2 Tm 2.99
Dy 0.3851 0.1149 0.5000  1 Dy 2.86, 2 Tm 2.99
Dy 0.6149 0.8851 0.5000  1 Dy 2.86, 2 Tm 2.99
Dy 0.8851 0.3851 0.2702  1 Dy 2.86, 2 Tm 2.99
Tm 0.0000 0.0000 0.0000  4 Dy 3.54, 8 Tm 3.73, 2 La 3.74
Tm 0.0731 0.1639 0.5000  1 Dy 2.99, 1 Pm 3.10
Tm 0.1639 0.6639 0.0908  1 Dy 2.99, 1 Pm 3.10
Tm 0.3361 0.4269 0.5000  1 Dy 2.99, 1 Pm 3.10
Tm 0.4269 0.9269 0.0908  1 Dy 2.99, 1 Pm 3.10
Tm 0.5000 0.5000 0.0000  4 Dy 3.54, 8 Tm 3.73, 2 La 3.74
Tm 0.5731 0.0731 0.9092  1 Dy 2.99, 1 Pm 3.10
Tm 0.6639 0.5731 0.5000  1 Dy 2.99, 1 Pm 3.10
Tm 0.8361 0.3361 0.9092  1 Dy 2.99, 1 Pm 3.10
Tm 0.9269 0.8361 0.5000  1 Dy 2.99, 1 Pm 3.10


First-principles (GGA-PBE) data for a relaxed La6PmDy2Tm crystal, as listed in the Alexandria database.

Energy of formation from the pure elements ... 112 meV per atom
SG ... C2/c (15)

Lattice parameters (Å, degrees): 9.1010 9.1010 9.2424 90.86 90.86 114.44
Closest atoms and distances in Å follow each position.
Sites, in units of the cell vectors:
La 0.0362 0.4733 0.6802  3 La 3.37-3.48, 1 Pm 3.42, 1 Tm 3.45, 2 Dy 3.49-3.76
La 0.0667 0.7832 0.9017  3 La 3.21-3.45, 1 Pm 3.44, 1 Dy 3.55
La 0.2168 0.9333 0.5983  3 La 3.21-3.45, 1 Pm 3.44, 1 Dy 3.55
La 0.2775 0.5712 0.0887  4 La 3.30-3.67, 2 Tm 3.49-3.60, 2 Dy 3.55-3.66
La 0.4288 0.7225 0.4113  4 La 3.30-3.67, 2 Tm 3.49-3.60, 2 Dy 3.55-3.66
La 0.4733 0.0362 0.1802  3 La 3.37-3.48, 1 Pm 3.42, 1 Tm 3.45, 2 Dy 3.49-3.76
La 0.5267 0.9638 0.8198  3 La 3.37-3.48, 1 Pm 3.42, 1 Tm 3.45, 2 Dy 3.49-3.76
La 0.5712 0.2775 0.5887  4 La 3.30-3.67, 2 Tm 3.49-3.60, 2 Dy 3.55-3.66
La 0.7225 0.4288 0.9113  4 La 3.30-3.67, 2 Tm 3.49-3.60, 2 Dy 3.55-3.66
La 0.7832 0.0667 0.4017  3 La 3.21-3.45, 1 Pm 3.44, 1 Dy 3.55
La 0.9333 0.2168 0.0983  3 La 3.21-3.45, 1 Pm 3.44, 1 Dy 3.55
La 0.9638 0.5267 0.3198  3 La 3.37-3.48, 1 Pm 3.42, 1 Tm 3.45, 2 Dy 3.49-3.76
Pm 0.0740 0.9260 0.2500  6 La 3.42-3.67, 2 Dy 3.49
Pm 0.9260 0.0740 0.7500  6 La 3.42-3.67, 2 Dy 3.49
Dy 0.2070 0.2980 0.4345  2 Tm 3.44-3.76, 7 La 3.49-3.82, 1 Pm 3.49
Dy 0.2980 0.2070 0.9345  2 Tm 3.44-3.76, 7 La 3.49-3.82, 1 Pm 3.49
Dy 0.7020 0.7930 0.0655  2 Tm 3.44-3.76, 7 La 3.49-3.82, 1 Pm 3.49
Dy 0.7930 0.7020 0.5655  2 Tm 3.44-3.76, 7 La 3.49-3.82, 1 Pm 3.49
Tm 0.4375 0.5625 0.7500  4 Dy 3.44-3.76, 6 La 3.45-3.60
Tm 0.5625 0.4375 0.2500  4 Dy 3.44-3.76, 6 La 3.45-3.60


First-principles (GGA-PBE) data for a relaxed LaPmDy2Tm4 crystal, as listed in the Alexandria database.

Energy of formation from the pure elements ... 26 meV per atom
SG ... P2/m (10)

Lattice parameters (Å, degrees): 7.1432 9.9439 7.1519 90.00 90.06 90.00
Closest atoms and distances in Å follow each position.
Sites, in units of the cell vectors:
La 0.0000 0.0000 0.0000  2 La 3.57, 2 Pm 3.58, 8 Tm 3.59
La 0.5000 0.0000 0.0000  2 La 3.57, 8 Tm 3.58, 2 Dy 3.58
Pm 0.0000 0.0000 0.5000  8 Tm 3.56-3.57, 2 Dy 3.57, 2 La 3.58
Pm 0.0000 0.5000 0.0000  8 Tm 3.54, 4 Dy 3.57-3.58
Dy 0.0000 0.5000 0.5000  8 Tm 3.51-3.52, 2 Dy 3.57, 2 Pm 3.58
Dy 0.5000 0.0000 0.5000  8 Tm 3.55-3.56, 2 Pm 3.57, 2 La 3.58
Dy 0.5000 0.5000 0.0000  8 Tm 3.52-3.53, 2 Pm 3.57, 2 Dy 3.58
Dy 0.5000 0.5000 0.5000  8 Tm 3.50-3.51, 4 Dy 3.57-3.58
Tm 0.2512 0.2537 0.7470  4 Dy 3.51-3.56, 4 Tm 3.53-3.62, 2 Pm 3.54-3.56, 2 La 3.58-3.59
Tm 0.2512 0.7463 0.7470  4 Dy 3.51-3.56, 4 Tm 3.53-3.62, 2 Pm 3.54-3.56, 2 La 3.58-3.59
Tm 0.2517 0.2535 0.2530  4 Dy 3.50-3.55, 4 Tm 3.53-3.62, 2 Pm 3.54-3.57, 2 La 3.58-3.59
Tm 0.2517 0.7465 0.2530  4 Dy 3.50-3.55, 4 Tm 3.53-3.62, 2 Pm 3.54-3.57, 2 La 3.58-3.59
Tm 0.7483 0.2535 0.7470  4 Dy 3.50-3.55, 4 Tm 3.53-3.62, 2 Pm 3.54-3.57, 2 La 3.58-3.59
Tm 0.7483 0.7465 0.7470  4 Dy 3.50-3.55, 4 Tm 3.53-3.62, 2 Pm 3.54-3.57, 2 La 3.58-3.59
Tm 0.7488 0.2537 0.2530  4 Dy 3.51-3.56, 4 Tm 3.53-3.62, 2 Pm 3.54-3.56, 2 La 3.58-3.59
Tm 0.7488 0.7463 0.2530  4 Dy 3.51-3.56, 4 Tm 3.53-3.62, 2 Pm 3.54-3.56, 2 La 3.58-3.59


Please write out number 5 again, unchanged.
First-principles (GGA-PBE) data for a relaxed LaPm4Dy2Tm crystal, as listed in the Alexandria database.

Energy of formation from the pure elements ... 19 meV per atom
SG ... P2/m (10)

Lattice parameters (Å, degrees): 6.2368 3.6307 11.9845 90.00 100.14 90.00
Closest atoms and distances in Å follow each position.
Sites, in units of the cell vectors:
La 0.0000 0.0000 0.0000  4 Tm 3.61, 6 Pm 3.62-3.65, 2 La 3.63
Pm 0.2505 0.0000 0.7492  3 Dy 3.60-3.61, 6 Pm 3.60-3.63, 2 Tm 3.62, 1 La 3.62
Pm 0.2513 0.5000 0.2538  3 Dy 3.58, 6 Pm 3.60-3.63, 1 Tm 3.65, 2 La 3.65
Pm 0.7495 0.0000 0.2508  3 Dy 3.60-3.61, 6 Pm 3.60-3.63, 2 Tm 3.62, 1 La 3.62
Pm 0.7487 0.5000 0.7462  3 Dy 3.58, 6 Pm 3.60-3.63, 1 Tm 3.65, 2 La 3.65
Dy 0.0000 0.5000 0.5000  6 Pm 3.58-3.61, 6 Dy 3.61-3.63
Dy 0.5000 0.0000 0.5000  6 Pm 3.58-3.60, 6 Dy 3.61-3.63
Tm 0.5000 0.5000 0.0000  4 La 3.61, 6 Pm 3.62-3.65, 2 Tm 3.63